! PBE Na2Al2InPt5, relaxed; values from VASP
&SYSTEM
  ibrav = 0, nat = 20, ntyp = 4
/
ATOMIC_SPECIES
Pt 195.08 Pt.upf
Na 22.99 Na.upf
Al 26.98 Al.upf
In 114.82 In.upf
ATOMIC_POSITIONS crystal
Pt 0.500 0.931 0.209
Pt 0.500 0.500 0.000
Pt 0.500 0.569 0.709
Pt 0.500 0.291 0.569
Pt 0.500 0.209 0.069
Pt 0.500 0.709 0.431
Pt 0.500 0.431 0.291
Pt 0.500 0.791 0.931
Pt 0.500 0.000 0.500
Pt 0.500 0.069 0.791
Na 0.000 0.326 0.826
Na 0.000 0.674 0.174
Na 0.000 0.174 0.326
Na 0.000 0.826 0.674
Al 0.000 0.125 0.625
Al 0.000 0.625 0.875
Al 0.000 0.375 0.125
Al 0.000 0.875 0.375
In 0.000 0.500 0.500
In 0.000 0.000 0.000
CELL_PARAMETERS angstrom
3.702 0.000 0.000
0.000 9.689 0.000
0.000 0.000 9.689
! M_tot ... 0.00 μB/f.u.
! E_form ... -0.592 eV per atom
! Calculated total energy ... -0.360 Ry per atom



! PBE RbNa2AlIn, relaxed; values from VASP
&SYSTEM
  ibrav = 0, nat = 5, ntyp = 4
/
ATOMIC_SPECIES
In 114.82 In.upf
Rb 85.47 Rb.upf
Al 26.98 Al.upf
Na 22.99 Na.upf
ATOMIC_POSITIONS crystal
In 0.000 0.000 0.500
Rb 0.500 0.500 0.500
Al 0.000 0.000 0.000
Na 0.000 0.500 0.000
Na 0.500 0.000 0.000
CELL_PARAMETERS angstrom
6.007 0.000 0.000
0.000 6.007 0.000
0.000 0.000 5.349
! M_tot ... 0.00 μB/f.u.
! E_form ... 0.124 eV per atom
! Calculated total energy ... -0.139 Ry per atom



! PBE Na4AlIn3S8, relaxed; values from VASP
&SYSTEM
  ibrav = 0, nat = 16, ntyp = 4
/
ATOMIC_SPECIES
S 32.06 S.upf
In 114.82 In.upf
Na 22.99 Na.upf
Al 26.98 Al.upf
ATOMIC_POSITIONS crystal
S 0.755 0.712 0.984
S 0.260 0.280 0.520
S 0.740 0.720 0.480
S 0.771 0.287 0.543
S 0.771 0.288 0.016
S 0.229 0.713 0.457
S 0.245 0.288 0.016
S 0.229 0.712 0.984
In 0.500 0.500 0.000
In 0.500 0.500 0.500
In 0.000 0.500 0.500
Na 0.000 0.000 0.000
Na 0.500 0.000 0.000
Na 0.500 0.000 0.500
Na 0.000 0.000 0.500
Al 0.000 0.500 0.000
CELL_PARAMETERS angstrom
-7.230 -2.096 0.834
1.506 -2.202 7.529
1.672 7.090 -2.074
! ΔE_f (raw) ... -89.7 kJ/mol of atoms
! M_tot ... 0.00 μB/f.u.
! Calculated total energy ... -0.299 Ry per atom



! PBE NaAlInSe3, relaxed; values from VASP
&SYSTEM
  ibrav = 0, nat = 12, ntyp = 4
/
ATOMIC_SPECIES
Na 22.99 Na.upf
In 114.82 In.upf
Se 78.96 Se.upf
Al 26.98 Al.upf
ATOMIC_POSITIONS crystal
Na 0.250 0.166 0.152
Na 0.750 0.834 0.848
In 0.250 0.637 0.125
In 0.750 0.363 0.875
Se 0.250 0.088 0.835
Se 0.250 0.812 0.479
Se 0.750 0.411 0.141
Se 0.750 0.188 0.521
Se 0.250 0.589 0.859
Se 0.750 0.912 0.165
Al 0.750 0.926 0.386
Al 0.250 0.074 0.614
CELL_PARAMETERS angstrom
4.006 0.000 0.000
0.000 8.671 0.247
0.000 -2.079 10.399
! ΔE_f (raw) ... -70.0 kJ/mol of atoms
! M_tot ... 0.00 μB/f.u.
! Calculated total energy ... -0.277 Ry per atom



! PBE Na3AlIn3Se8, relaxed; values from VASP
&SYSTEM
  ibrav = 0, nat = 15, ntyp = 4
/
ATOMIC_SPECIES
Se 78.96 Se.upf
Na 22.99 Na.upf
In 114.82 In.upf
Al 26.98 Al.upf
ATOMIC_POSITIONS crystal
Se 0.227 0.453 0.709
Se 0.741 0.482 0.723
Se 0.227 0.983 0.709
Se 0.756 0.983 0.709
Se 0.244 0.017 0.291
Se 0.773 0.547 0.291
Se 0.259 0.518 0.277
Se 0.773 0.017 0.291
Na 0.500 0.500 0.000
Na 0.000 0.000 0.000
Na 0.000 0.500 0.000
In 0.000 0.500 0.500
In 0.500 0.000 0.500
In 0.500 0.500 0.500
Al 0.000 0.000 0.500
CELL_PARAMETERS angstrom
-6.917 0.454 3.509
3.238 -6.995 -1.314
3.465 4.854 6.202
! ΔE_f (raw) ... -70.6 kJ/mol of atoms
! M_tot ... 0.00 μB/f.u.
! Calculated total energy ... -0.268 Ry per atom



! PBE NaAlInSn, relaxed; values from VASP
&SYSTEM
  ibrav = 0, nat = 4, ntyp = 4
/
ATOMIC_SPECIES
Al 26.98 Al.upf
Sn 118.71 Sn.upf
Na 22.99 Na.upf
In 114.82 In.upf
ATOMIC_POSITIONS crystal
Al 0.000 0.000 0.000
Sn 0.250 0.250 0.250
Na 0.500 0.500 0.500
In 0.750 0.750 0.750
CELL_PARAMETERS angstrom
5.156 0.000 0.000
2.578 4.465 0.000
2.578 1.488 4.210
! M_tot ... 0.00 μB/f.u.
! E_form ... 0.066 eV per atom
! Calculated total energy ... -0.212 Ry per atom



! PBE NaTbAlIn, relaxed; values from VASP
&SYSTEM
  ibrav = 0, nat = 4, ntyp = 4
/
ATOMIC_SPECIES
Na 22.99 Na.upf
In 114.82 In.upf
Tb 158.93 Tb.upf
Al 26.98 Al.upf
ATOMIC_POSITIONS crystal
Na 0.250 0.250 0.250
In 0.500 0.500 0.500
Tb 0.750 0.750 0.750
Al 0.000 0.000 0.000
CELL_PARAMETERS angstrom
5.190 0.000 0.000
2.595 4.495 0.000
2.595 1.498 4.238
! M_tot ... 0.00 μB/f.u.
! E_form ... -0.152 eV per atom
! Calculated total energy ... -0.240 Ry per atom



! PBE NaAl2InTc, relaxed; values from VASP
&SYSTEM
  ibrav = 0, nat = 5, ntyp = 4
/
ATOMIC_SPECIES
Na 22.99 Na.upf
Al 26.98 Al.upf
In 114.82 In.upf
Tc 98.00 Tc.upf
ATOMIC_POSITIONS crystal
Na 0.500 0.500 0.500
Al 0.500 0.000 0.000
Al 0.000 0.000 0.500
In 0.000 0.000 0.000
Tc 0.000 0.500 0.000
CELL_PARAMETERS angstrom
5.192 0.000 0.000
0.000 5.268 0.000
0.000 0.000 5.192
! M_tot ... 3.03 μB/f.u.
! E_form ... 1.148 eV per atom
! Calculated total energy ... -0.238 Ry per atom



! PBE NaAlIn2Te, relaxed; values from VASP
&SYSTEM
  ibrav = 0, nat = 5, ntyp = 4
/
ATOMIC_SPECIES
In 114.82 In.upf
Al 26.98 Al.upf
Te 127.60 Te.upf
Na 22.99 Na.upf
ATOMIC_POSITIONS crystal
In 0.000 0.000 0.500
In 0.500 0.000 0.000
Al 0.500 0.500 0.500
Te 0.000 0.000 0.000
Na 0.000 0.500 0.000
CELL_PARAMETERS angstrom
6.033 0.000 0.000
0.000 5.494 0.000
0.000 0.000 6.033
! ΔE_f (raw) ... 42.5 kJ/mol of atoms
! M_tot ... 0.00 μB/f.u.
! Calculated total energy ... -0.169 Ry per atom



! PBE Na2AlInTe4, relaxed; values from VASP
&SYSTEM
  ibrav = 0, nat = 8, ntyp = 4
/
ATOMIC_SPECIES
Te 127.60 Te.upf
In 114.82 In.upf
Na 22.99 Na.upf
Al 26.98 Al.upf
ATOMIC_POSITIONS crystal
Te 0.866 0.398 0.208
Te 0.661 0.605 0.735
Te 0.342 0.810 0.209
Te 0.073 0.130 0.735
In 0.736 0.736 0.472
Na 0.486 0.986 0.972
Na 0.236 0.236 0.472
Al 0.986 0.486 0.972
CELL_PARAMETERS angstrom
7.195 0.002 -0.005
0.000 7.195 -0.004
-3.595 -3.596 5.735
! ΔE_f (raw) ... -61.5 kJ/mol of atoms
! M_tot ... 0.00 μB/f.u.
! Calculated total energy ... -0.246 Ry per atom



! PBE NaTmAlIn, relaxed; values from VASP
&SYSTEM
  ibrav = 0, nat = 4, ntyp = 4
/
ATOMIC_SPECIES
Na 22.99 Na.upf
Al 26.98 Al.upf
Tm 168.93 Tm.upf
In 114.82 In.upf
ATOMIC_POSITIONS crystal
Na 0.000 0.000 0.000
Al 0.750 0.750 0.750
Tm 0.500 0.500 0.500
In 0.250 0.250 0.250
CELL_PARAMETERS angstrom
-0.842 -3.922 -3.217
3.922 -2.092 -2.585
1.651 -4.717 1.209
! M_tot ... 0.00 μB/f.u.
! E_form ... -0.126 eV per atom
! Calculated total energy ... -0.235 Ry per atom



! PBE NaYAlIn, relaxed; values from VASP
&SYSTEM
  ibrav = 0, nat = 4, ntyp = 4
/
ATOMIC_SPECIES
Y 88.91 Y.upf
In 114.82 In.upf
Al 26.98 Al.upf
Na 22.99 Na.upf
ATOMIC_POSITIONS crystal
Y 0.750 0.750 0.750
In 0.000 0.000 0.000
Al 0.500 0.500 0.500
Na 0.250 0.250 0.250
CELL_PARAMETERS angstrom
-4.702 1.638 1.446
-3.097 -3.116 2.753
-0.961 1.047 4.986
! M_tot ... 0.00 μB/f.u.
! E_form ... -0.155 eV per atom
! Calculated total energy ... -0.274 Ry per atom